Entry 1:
# Zr3BeW

A relaxed Zr3BeW crystal (GGA-PBE, Alexandria via LeMat-Bulk).

Summary:
Calculated density: 7.71 g cm⁻³
ΔH_f (0 K): 0.70 eV/atom
Space-group type: Pm-3m, No. 221

a b c (Å): 4.6481 4.6481 4.6481
angles (deg): 90.00 90.00 90.00
Closest atoms and distances in Å follow each position.
Fractional positions:
Zr1 0.0000 0.5000 0.0000  2 Be 2.32
Zr2 0.0000 0.0000 0.5000  2 Be 2.32
Zr3 0.5000 0.0000 0.0000  2 Be 2.32
W1 0.5000 0.5000 0.5000  12 Zr 3.29
Be1 0.0000 0.0000 0.0000  6 Zr 2.32


Entry 2:
# ZrBe2W

A relaxed ZrBe2W crystal (GGA-PBE, Alexandria via LeMat-Bulk).

Summary:
Calculated density: 8.51 g cm⁻³
ΔH_f (0 K): 0.23 eV/atom
Excess energy over the best structure of this formula in the dataset: 284 meV/atom
Space-group type: I-4m2, No. 119

a b c (Å): 5.0467 5.0467 5.0467
angles (deg): 137.88 137.88 61.09
Closest atoms and distances in Å follow each position.
Fractional positions:
Be1 0.0000 0.0000 0.0000  4 W 2.56, 4 Zr 2.83, 4 Be 2.83
Be2 0.2500 0.7500 0.5000  4 Zr 2.56, 4 W 2.83, 4 Be 2.83
W1 0.5000 0.5000 0.0000  8 Be 2.56-2.83, 4 Zr 2.83
Zr1 0.7500 0.2500 0.5000  8 Be 2.56-2.83, 4 W 2.83


Entry 3:
# ZrBe2W

A relaxed ZrBe2W crystal (GGA-PBE, Alexandria via LeMat-Bulk).

Summary:
Calculated density: 8.79 g cm⁻³
ΔH_f (0 K): 0.16 eV/atom
Excess energy over the best structure of this formula in the dataset: 210 meV/atom
Space-group type: Fm-3m, No. 225

a b c (Å): 4.2781 4.2781 4.2781
angles (deg): 60.00 60.00 60.00
Closest atoms and distances in Å follow each position.
Fractional positions:
Zr1 0.0000 0.0000 0.0000  8 Be 2.62
W1 0.5000 0.5000 0.5000  8 Be 2.62
Be1 0.2500 0.2500 0.2500  4 Zr 2.62, 4 W 2.62
Be2 0.7500 0.7500 0.7500  4 Zr 2.62, 4 W 2.62


Copy entry 3 word for word.
# ZrBe2W

A relaxed ZrBe2W crystal (GGA-PBE, Alexandria via LeMat-Bulk).

Summary:
Calculated density: 8.79 g cm⁻³
ΔH_f (0 K): 0.16 eV/atom
Excess energy over the best structure of this formula in the dataset: 210 meV/atom
Space-group type: Fm-3m, No. 225

a b c (Å): 4.2781 4.2781 4.2781
angles (deg): 60.00 60.00 60.00
Closest atoms and distances in Å follow each position.
Fractional positions:
Zr1 0.0000 0.0000 0.0000  8 Be 2.62
W1 0.5000 0.5000 0.5000  8 Be 2.62
Be1 0.2500 0.2500 0.2500  4 Zr 2.62, 4 W 2.62
Be2 0.7500 0.7500 0.7500  4 Zr 2.62, 4 W 2.62


The highest ΔH_f (0 K) belongs to which entry? Zr3BeW


Among the records above, which one has the highest ΔH_f (0 K)? Zr3BeW